Computed, not measured: a relaxed HfTa3P crystal at the PBE-GGA level of DFT.

Summary:
Excess energy over the best structure of this formula in the dataset, meV/atom: 2017
Density of states at the Fermi level, states/eV per cell: 5.7

Cell lengths 4.9059, 4.9059, 4.9059 Å; angles 90.00, 90.00, 90.00 degrees
With the nearest neighbours (Å) after each atom.
Fractional positions:
Hf  0.0000  0.0000  0.0000  6 Ta 2.45
Ta  0.0000  0.0000  0.5000  2 Hf 2.45
Ta  0.0000  0.5000  0.0000  2 Hf 2.45
Ta  0.5000  0.0000  0.0000  2 Hf 2.45
P  0.5000  0.5000  0.5000  12 Ta 3.47


Computed, not measured: a relaxed NaTl6In3 crystal at the PBE-GGA level of DFT.

Summary:
Excess energy over the best structure of this formula in the dataset, meV/atom: 37
Density of states at the Fermi level, states/eV per cell: 8.8

Cell lengths 10.1788, 4.7380, 13.4690 Å; angles 90.00, 105.03, 90.00 degrees
With the nearest neighbours (Å) after each atom.
Fractional positions:
Na  0.0378  0.2500  0.2581  7 Tl 3.35-3.60, 2 In 3.48-3.55
Na  0.9622  0.7500  0.7419  7 Tl 3.35-3.60, 2 In 3.48-3.55
Tl  0.0724  0.2500  0.9448  2 In 3.11, 3 Tl 3.24-3.34
Tl  0.2254  0.7500  0.4157  5 In 3.26-3.58, 4 Tl 3.37-3.65, 2 Na 3.42
Tl  0.2488  0.7500  0.1706  3 In 3.22-3.24, 4 Tl 3.24-3.41, 2 Na 3.60
Tl  0.2705  0.7500  0.6968  4 In 3.20-3.43, 1 Na 3.35, 2 Tl 3.45
Tl  0.4113  0.2500  0.5695  4 In 3.17-3.33, 4 Tl 3.38-3.45
Tl  0.4337  0.2500  0.0843  4 In 3.12-3.29, 2 Tl 3.41
Tl  0.5663  0.7500  0.9157  4 In 3.12-3.29, 2 Tl 3.41
Tl  0.5887  0.7500  0.4305  4 In 3.17-3.33, 4 Tl 3.38-3.45
Tl  0.7295  0.2500  0.3032  4 In 3.20-3.43, 1 Na 3.35, 2 Tl 3.45
Tl  0.7512  0.2500  0.8294  3 In 3.22-3.24, 4 Tl 3.24-3.41, 2 Na 3.60
Tl  0.7746  0.2500  0.5843  5 In 3.26-3.58, 4 Tl 3.37-3.65, 2 Na 3.42
Tl  0.9276  0.7500  0.0552  2 In 3.11, 3 Tl 3.24-3.34
In  0.0842  0.2500  0.5581  2 In 3.10, 4 Tl 3.26-3.30
In  0.2662  0.7500  0.9335  7 Tl 3.11-3.29, 1 Na 3.48
In  0.3988  0.2500  0.3197  9 Tl 3.17-3.43, 1 Na 3.55
In  0.6012  0.7500  0.6803  9 Tl 3.17-3.43, 1 Na 3.55
In  0.7338  0.2500  0.0665  7 Tl 3.11-3.29, 1 Na 3.48
In  0.9158  0.7500  0.4419  2 In 3.10, 4 Tl 3.26-3.30